The following is a PBE calculation of a relaxed TiBeF2 crystal, from Alexandria.

The structure in POSCAR format:
```
TiBeF2
1.0
1.332 0.769 7.683
-1.332 0.769 7.683
0.000 -1.538 7.683
Ti Be F
1 1 2
Direct
0.000 0.000 0.000
0.500 0.500 0.500
0.396 0.396 0.396
0.604 0.604 0.604
```

Computed properties:
space group	R-3m
N(E_F)	2.9	states/eV per cell
density	3.3	Mg/m³
ΔE_f (raw)	-1637	meV per atom

---

The following is a PBE calculation of a relaxed Th3Zn2Fe7 crystal, from Alexandria.

The structure in POSCAR format:
```
Th3Zn2Fe7
1.0
2.598 1.500 8.402
-2.598 1.500 8.402
0.000 -3.000 8.402
Th Zn Fe
3 2 7
Direct
0.000 0.000 0.000
0.140 0.140 0.140
0.860 0.860 0.860
0.332 0.332 0.332
0.668 0.668 0.668
0.086 0.581 0.581
0.419 0.419 0.914
0.419 0.914 0.419
0.500 0.500 0.500
0.581 0.086 0.581
0.581 0.581 0.086
0.914 0.419 0.419
```

Computed properties:
space group	R-3m
formation energy	-0.0823	eV per atom
N(E_F)	12.7	states/eV per cell
density	10.3	Mg/m³